Record 1
Li4Fe3CuP4O16: relaxed, PBE with a Hubbard U.

Structure (CIF):
```
data_Li4Fe3CuP4O16
_chemical_formula_sum 'Li4 Fe3 Cu1 P4 O16'
_cell_length_a 6.109
_cell_length_b 4.756
_cell_length_c 10.320
_cell_angle_alpha 88.82
_cell_angle_beta 90.00
_cell_angle_gamma 90.00
_symmetry_space_group_name_H-M 'P 1'
_symmetry_Int_Tables_number 1
_symmetry_space_group_name_Hall 'P 1'
loop_
_atom_site_label
_atom_site_type_symbol
_atom_site_fract_x
_atom_site_fract_y
_atom_site_fract_z
_atom_site_occupancy
O1 O 0.000 0.816 0.449 1
O2 O 0.000 0.251 0.594 1
O3 O 0.701 0.219 0.332 1
O4 O 0.500 0.759 0.405 1
O5 O 0.206 0.707 0.165 1
O6 O 0.703 0.280 0.834 1
O7 O 0.500 0.280 0.045 1
O8 O 0.500 0.207 0.543 1
O9 O 0.297 0.280 0.834 1
O10 O 0.798 0.788 0.661 1
O11 O 0.299 0.219 0.332 1
O12 O 0.000 0.251 0.109 1
O13 O 0.000 0.693 0.958 1
O14 O 0.500 0.733 0.903 1
O15 O 0.202 0.788 0.661 1
O16 O 0.794 0.707 0.165 1
P1 P 0.000 0.579 0.100 1
P2 P 0.500 0.410 0.905 1
P3 P 0.500 0.082 0.405 1
P4 P 0.000 0.928 0.591 1
Li1 Li 0.252 0.507 0.496 1
Li2 Li 0.748 0.990 0.006 1
Li3 Li 0.252 0.990 0.006 1
Li4 Li 0.748 0.507 0.496 1
Fe1 Fe 0.500 0.972 0.719 1
Fe2 Fe 0.500 0.523 0.217 1
Fe3 Fe 0.000 0.474 0.781 1
Cu1 Cu 0.000 0.061 0.289 1
```

Values from the calculation:
M_tot   13.004 μB/f.u.
DOS(E_F)   0.0481 states/eV per atom

---

Record 2
Li2FeCuP2O8: relaxed, PBE with a Hubbard U.

Structure (CIF):
```
data_Li2FeCuP2O8
_chemical_formula_sum 'Li4 Fe2 Cu2 P4 O16'
_cell_length_a 6.126
_cell_length_b 4.759
_cell_length_c 10.198
_cell_angle_alpha 87.82
_cell_angle_beta 90.00
_cell_angle_gamma 90.00
_symmetry_space_group_name_H-M 'P 1'
_symmetry_Int_Tables_number 1
_symmetry_space_group_name_Hall 'P 1'
loop_
_atom_site_label
_atom_site_type_symbol
_atom_site_fract_x
_atom_site_fract_y
_atom_site_fract_z
_atom_site_occupancy
Li1 Li 0.000 0.500 0.500 1
Li2 Li 0.000 0.000 0.000 1
Li3 Li 0.500 0.000 0.000 1
Li4 Li 0.500 0.500 0.500 1
O1 O 0.450 0.219 0.338 1
O2 O 0.750 0.814 0.448 1
O3 O 0.250 0.294 0.044 1
O4 O 0.550 0.781 0.662 1
O5 O 0.250 0.186 0.552 1
O6 O 0.250 0.753 0.406 1
O7 O 0.750 0.247 0.594 1
O8 O 0.544 0.713 0.166 1
O9 O 0.044 0.287 0.834 1
O10 O 0.750 0.706 0.956 1
O11 O 0.750 0.259 0.108 1
O12 O 0.950 0.781 0.662 1
O13 O 0.456 0.287 0.834 1
O14 O 0.250 0.741 0.892 1
O15 O 0.956 0.713 0.166 1
O16 O 0.050 0.219 0.338 1
Fe1 Fe 0.750 0.475 0.782 1
Fe2 Fe 0.250 0.525 0.218 1
P1 P 0.250 0.414 0.900 1
P2 P 0.250 0.075 0.409 1
P3 P 0.750 0.586 0.100 1
P4 P 0.750 0.925 0.591 1
Cu1 Cu 0.250 0.942 0.713 1
Cu2 Cu 0.750 0.058 0.287 1
```

Values from the calculation:
M_tot   5.012 μB/f.u.
DOS(E_F)   0.2743 states/eV per atom

---

Record 3
Li4FeCu3P4O16: relaxed, PBE with a Hubbard U.

Structure (CIF):
```
data_Li4FeCu3P4O16
_chemical_formula_sum 'Li4 Fe1 Cu3 P4 O16'
_cell_length_a 6.089
_cell_length_b 4.766
_cell_length_c 10.131
_cell_angle_alpha 89.44
_cell_angle_beta 90.00
_cell_angle_gamma 90.00
_symmetry_space_group_name_H-M 'P 1'
_symmetry_Int_Tables_number 1
_symmetry_space_group_name_Hall 'P 1'
loop_
_atom_site_label
_atom_site_type_symbol
_atom_site_fract_x
_atom_site_fract_y
_atom_site_fract_z
_atom_site_occupancy
O1 O 0.000 0.800 0.552 1
O2 O 0.204 0.784 0.338 1
O3 O 0.500 0.749 0.600 1
O4 O 0.000 0.695 0.046 1
O5 O 0.297 0.286 0.164 1
O6 O 0.500 0.203 0.456 1
O7 O 0.796 0.784 0.338 1
O8 O 0.709 0.198 0.667 1
O9 O 0.500 0.312 0.950 1
O10 O 0.000 0.242 0.404 1
O11 O 0.291 0.198 0.667 1
O12 O 0.803 0.734 0.829 1
O13 O 0.197 0.734 0.829 1
O14 O 0.703 0.286 0.164 1
O15 O 0.000 0.265 0.891 1
O16 O 0.500 0.748 0.098 1
Li1 Li 0.257 0.996 0.011 1
Li2 Li 0.743 0.996 0.011 1
Li3 Li 0.744 0.494 0.490 1
Li4 Li 0.256 0.494 0.490 1
Cu1 Cu 0.500 0.551 0.785 1
Cu2 Cu 0.000 0.460 0.217 1
Cu3 Cu 0.500 0.972 0.285 1
P1 P 0.000 0.586 0.903 1
P2 P 0.500 0.072 0.597 1
P3 P 0.000 0.919 0.405 1
P4 P 0.500 0.424 0.095 1
Fe1 Fe 0.000 0.018 0.719 1
```

Values from the calculation:
M_tot   7.011 μB/f.u.
DOS(E_F)   0.2333 states/eV per atom

---

Record 4
Li4Fe2Cu3Te3O16: relaxed, PBE with a Hubbard U.

Structure (CIF):
```
data_Li4Fe2Cu3Te3O16
_chemical_formula_sum 'Li4 Fe2 Cu3 Te3 O16'
_cell_length_a 6.075
_cell_length_b 6.314
_cell_length_c 9.674
_cell_angle_alpha 92.47
_cell_angle_beta 92.60
_cell_angle_gamma 118.25
_symmetry_space_group_name_H-M 'P 1'
_symmetry_Int_Tables_number 1
_symmetry_space_group_name_Hall 'P 1'
loop_
_atom_site_label
_atom_site_type_symbol
_atom_site_fract_x
_atom_site_fract_y
_atom_site_fract_z
_atom_site_occupancy
Fe1 Fe 0.309 0.603 0.991 1
Fe2 Fe 0.633 0.295 0.531 1
Te1 Te 0.811 0.634 0.781 1
Te2 Te 0.679 0.874 0.296 1
Te3 Te 0.162 0.828 0.276 1
O1 O 0.113 0.766 0.911 1
O2 O 0.642 0.762 0.899 1
O3 O 0.948 0.493 0.646 1
O4 O 0.846 0.747 0.415 1
O5 O 0.507 0.042 0.661 1
O6 O 0.958 0.038 0.184 1
O7 O 0.083 0.504 0.150 1
O8 O 0.329 0.161 0.397 1
O9 O 0.363 0.717 0.397 1
O10 O 0.154 0.289 0.903 1
O11 O 0.553 0.580 0.171 1
O12 O 0.672 0.335 0.884 1
O13 O 0.522 0.488 0.642 1
O14 O 0.808 0.162 0.421 1
O15 O 0.490 0.981 0.168 1
O16 O 0.969 0.955 0.704 1
Cu1 Cu 0.235 0.347 0.260 1
Cu2 Cu 0.324 0.145 0.791 1
Cu3 Cu 0.819 0.150 0.787 1
Li1 Li 0.335 0.684 0.608 1
Li2 Li 0.708 0.348 0.096 1
Li3 Li 0.980 0.994 0.995 1
Li4 Li 0.048 0.077 0.526 1
```

Values from the calculation:
M_tot   3.044 μB/f.u.
DOS(E_F)   0.0449 states/eV per atom

---

Record 5
Li4Ti3Fe2Cu3O16: relaxed, PBE with a Hubbard U.

Structure (CIF):
```
data_Li4Ti3Fe2Cu3O16
_chemical_formula_sum 'Li4 Ti3 Fe2 Cu3 O16'
_cell_length_a 5.870
_cell_length_b 5.914
_cell_length_c 9.614
_cell_angle_alpha 89.88
_cell_angle_beta 90.68
_cell_angle_gamma 120.14
_symmetry_space_group_name_H-M 'P 1'
_symmetry_Int_Tables_number 1
_symmetry_space_group_name_Hall 'P 1'
loop_
_atom_site_label
_atom_site_type_symbol
_atom_site_fract_x
_atom_site_fract_y
_atom_site_fract_z
_atom_site_occupancy
O1 O 0.173 0.845 0.599 1
O2 O 0.846 0.173 0.100 1
O3 O 0.838 0.671 0.100 1
O4 O 0.475 0.513 0.342 1
O5 O 0.511 0.475 0.841 1
O6 O 0.174 0.332 0.599 1
O7 O 0.319 0.663 0.103 1
O8 O 0.995 0.997 0.804 1
O9 O 0.330 0.167 0.100 1
O10 O 0.672 0.837 0.600 1
O11 O 0.513 0.038 0.841 1
O12 O 0.004 0.004 0.309 1
O13 O 0.963 0.482 0.838 1
O14 O 0.473 0.963 0.343 1
O15 O 0.033 0.517 0.336 1
O16 O 0.668 0.335 0.605 1
Li1 Li 0.980 0.988 0.993 1
Li2 Li 0.340 0.671 0.892 1
Li3 Li 0.669 0.332 0.397 1
Li4 Li 0.992 0.001 0.497 1
Ti1 Ti 0.155 0.808 0.223 1
Ti2 Ti 0.196 0.336 0.209 1
Ti3 Ti 0.348 0.177 0.718 1
Fe1 Fe 0.676 0.336 0.990 1
Fe2 Fe 0.335 0.669 0.495 1
Cu1 Cu 0.660 0.838 0.213 1
Cu2 Cu 0.833 0.662 0.711 1
Cu3 Cu 0.832 0.172 0.712 1
```

Values from the calculation:
M_tot   5.089 μB/f.u.
DOS(E_F)   0.2664 states/eV per atom

---

Record 6
Li4Ti2Fe3Cu3O16: relaxed, PBE with a Hubbard U.

Structure (CIF):
```
data_Li4Ti2Fe3Cu3O16
_chemical_formula_sum 'Li4 Ti2 Fe3 Cu3 O16'
_cell_length_a 5.879
_cell_length_b 5.812
_cell_length_c 9.545
_cell_angle_alpha 90.09
_cell_angle_beta 87.58
_cell_angle_gamma 119.29
_symmetry_space_group_name_H-M 'P 1'
_symmetry_Int_Tables_number 1
_symmetry_space_group_name_Hall 'P 1'
loop_
_atom_site_label
_atom_site_type_symbol
_atom_site_fract_x
_atom_site_fract_y
_atom_site_fract_z
_atom_site_occupancy
O1 O 0.984 0.995 0.808 1
O2 O 0.151 0.331 0.599 1
O3 O 0.463 0.958 0.350 1
O4 O 0.528 0.494 0.834 1
O5 O 0.524 0.042 0.834 1
O6 O 0.001 0.014 0.302 1
O7 O 0.531 0.550 0.372 1
O8 O 0.052 0.499 0.340 1
O9 O 0.331 0.651 0.109 1
O10 O 0.149 0.825 0.600 1
O11 O 0.684 0.344 0.610 1
O12 O 0.679 0.848 0.605 1
O13 O 0.832 0.657 0.094 1
O14 O 0.783 0.138 0.079 1
O15 O 0.320 0.174 0.090 1
O16 O 0.956 0.482 0.832 1
Ti1 Ti 0.357 0.666 0.491 1
Ti2 Ti 0.665 0.337 0.996 1
Fe1 Fe 0.827 0.171 0.715 1
Fe2 Fe 0.656 0.828 0.217 1
Fe3 Fe 0.831 0.665 0.713 1
Cu1 Cu 0.174 0.335 0.209 1
Cu2 Cu 0.337 0.171 0.713 1
Cu3 Cu 0.165 0.822 0.215 1
Li1 Li 0.997 0.999 0.996 1
Li2 Li 0.018 0.010 0.491 1
Li3 Li 0.326 0.666 0.894 1
Li4 Li 0.679 0.328 0.400 1
```

Values from the calculation:
M_tot   8.970 μB/f.u.
DOS(E_F)   0.0380 states/eV per atom

---

Record 7
Li4V2Fe3Cu3O16: relaxed, PBE with a Hubbard U.

Structure (CIF):
```
data_Li4V2Fe3Cu3O16
_chemical_formula_sum 'Li4 V2 Fe3 Cu3 O16'
_cell_length_a 5.875
_cell_length_b 5.883
_cell_length_c 9.530
_cell_angle_alpha 90.01
_cell_angle_beta 87.89
_cell_angle_gamma 120.04
_symmetry_space_group_name_H-M 'P 1'
_symmetry_Int_Tables_number 1
_symmetry_space_group_name_Hall 'P 1'
loop_
_atom_site_label
_atom_site_type_symbol
_atom_site_fract_x
_atom_site_fract_y
_atom_site_fract_z
_atom_site_occupancy
O1 O 0.816 0.166 0.088 1
O2 O 0.347 0.173 0.083 1
O3 O 0.043 0.521 0.346 1
O4 O 0.642 0.821 0.582 1
O5 O 0.817 0.650 0.088 1
O6 O 0.525 0.483 0.843 1
O7 O 0.672 0.336 0.613 1
O8 O 0.004 0.002 0.300 1
O9 O 0.334 0.667 0.110 1
O10 O 0.158 0.343 0.590 1
O11 O 0.984 0.992 0.799 1
O12 O 0.477 0.518 0.353 1
O13 O 0.525 0.042 0.843 1
O14 O 0.962 0.481 0.855 1
O15 O 0.477 0.959 0.353 1
O16 O 0.158 0.815 0.590 1
Fe1 Fe 0.830 0.655 0.715 1
Fe2 Fe 0.829 0.175 0.715 1
Fe3 Fe 0.656 0.828 0.219 1
Cu1 Cu 0.176 0.833 0.214 1
Cu2 Cu 0.176 0.343 0.213 1
Cu3 Cu 0.339 0.169 0.718 1
V1 V 0.337 0.668 0.497 1
V2 V 0.687 0.344 0.996 1
Li1 Li 0.014 0.007 0.990 1
Li2 Li 0.022 0.011 0.489 1
Li3 Li 0.663 0.331 0.403 1
Li4 Li 0.332 0.666 0.902 1
```

Values from the calculation:
M_tot   15.919 μB/f.u.
DOS(E_F)   0.3026 states/eV per atom

---

no.,calculated density (Mg/m³),total energy (eV per atom)
1,3.54,-6.684
2,3.61,-6.537
3,3.69,-6.388
4,4.94,-5.390
5,4.20,-6.552
6,4.31,-6.230
7,4.34,-6.014